VASP calculation (GGA-PBE) on a relaxed NaTe2HRh crystal.

The structure in CIF format:
```
data_NaTe2HRh
_chemical_formula_sum 'Na1 Te2 H1 Rh1'
_cell_length_a 4.7381
_cell_length_b 4.7381
_cell_length_c 3.9549
_cell_angle_alpha 90.00
_cell_angle_beta 90.00
_cell_angle_gamma 90.00
_symmetry_space_group_name_H-M 'P 4/m m m'
_symmetry_Int_Tables_number 123
_symmetry_space_group_name_Hall '-P 4 2'
loop_
_atom_site_label
_atom_site_fract_x
_atom_site_fract_y
_atom_site_fract_z
Na1 0.0000 0.0000 0.0000
Te1 0.0000 0.5000 0.5000
H1 0.0000 0.0000 0.5000
Rh1 0.5000 0.5000 0.0000
```

Properties
Crystal system: tetragonal
D(E_F) (states/eV per atom): 0.62
DFT total energy (eV/atom): -3.43

---

VASP calculation (GGA-PBE) on a relaxed NaTlHRh2 crystal.

The structure in CIF format:
```
data_NaTlHRh2
_chemical_formula_sum 'Na1 Tl1 H1 Rh2'
_cell_length_a 4.0847
_cell_length_b 4.0847
_cell_length_c 4.2173
_cell_angle_alpha 90.00
_cell_angle_beta 90.00
_cell_angle_gamma 90.00
_symmetry_space_group_name_H-M 'P 4/m m m'
_symmetry_Int_Tables_number 123
_symmetry_space_group_name_Hall '-P 4 2'
loop_
_atom_site_label
_atom_site_fract_x
_atom_site_fract_y
_atom_site_fract_z
Na1 0.0000 0.0000 0.0000
Tl1 0.5000 0.5000 0.0000
H1 0.0000 0.0000 0.5000
Rh1 0.0000 0.5000 0.5000
```

Properties
Crystal system: tetragonal
D(E_F) (states/eV per atom): 0.55
DFT total energy (eV/atom): -4.31

---

VASP calculation (GGA-PBE) on a relaxed NaTl2H6Rh crystal.

The structure in CIF format:
```
data_NaTl2H6Rh
_chemical_formula_sum 'Na1 Tl2 H6 Rh1'
_cell_length_a 5.3590
_cell_length_b 5.3590
_cell_length_c 5.7108
_cell_angle_alpha 90.00
_cell_angle_beta 90.00
_cell_angle_gamma 120.00
_symmetry_space_group_name_H-M 'P -3 m 1'
_symmetry_Int_Tables_number 164
_symmetry_space_group_name_Hall '-P 3 2"'
loop_
_atom_site_label
_atom_site_fract_x
_atom_site_fract_y
_atom_site_fract_z
Na1 0.0000 0.0000 0.0000
Tl1 0.3333 0.6667 0.2687
H1 0.1506 0.3011 0.6627
Rh1 0.0000 0.0000 0.5000
```

Properties
Crystal system: trigonal
D(E_F) (states/eV per atom): 0.00
DFT total energy (eV/atom): -3.40

---

VASP calculation (GGA-PBE) on a relaxed Na2Tl2H4Rh crystal.

The structure in CIF format:
```
data_Na2Tl2H4Rh
_chemical_formula_sum 'Na4 Tl4 H8 Rh2'
_cell_length_a 6.0305
_cell_length_b 6.0305
_cell_length_c 8.1927
_cell_angle_alpha 90.00
_cell_angle_beta 90.00
_cell_angle_gamma 90.00
_symmetry_space_group_name_H-M 'I 4/m m m'
_symmetry_Int_Tables_number 139
_symmetry_space_group_name_Hall '-I 4 2'
loop_
_atom_site_label
_atom_site_fract_x
_atom_site_fract_y
_atom_site_fract_z
Na1 0.0000 0.5000 0.2500
Tl1 0.0000 0.0000 0.1737
H1 0.2012 0.2012 0.5000
Rh1 0.0000 0.0000 0.5000
```

Properties
Crystal system: tetragonal
D(E_F) (states/eV per atom): 0.28
DFT total energy (eV/atom): -3.08

---

VASP calculation (GGA-PBE) on a relaxed Na3TlH8Rh2 crystal.

The structure in CIF format:
```
data_Na3TlH8Rh2
_chemical_formula_sum 'Na3 Tl1 H8 Rh2'
_cell_length_a 5.2163
_cell_length_b 5.2163
_cell_length_c 6.9451
_cell_angle_alpha 90.00
_cell_angle_beta 90.00
_cell_angle_gamma 120.00
_symmetry_space_group_name_H-M 'P -3 m 1'
_symmetry_Int_Tables_number 164
_symmetry_space_group_name_Hall '-P 3 2"'
loop_
_atom_site_label
_atom_site_fract_x
_atom_site_fract_y
_atom_site_fract_z
Na1 0.0000 0.0000 0.0000
Na2 0.3333 0.6667 0.6324
Tl1 0.0000 0.0000 0.5000
H1 0.1876 0.3752 0.2926
H2 0.3333 0.6667 0.9172
Rh1 0.3333 0.6667 0.1520
```

Properties
Crystal system: trigonal
D(E_F) (states/eV per atom): 0.20
DFT total energy (eV/atom): -3.38

---

VASP calculation (GGA-PBE) on a relaxed NaTmH8Rh2 crystal.

The structure in CIF format:
```
data_NaTmH8Rh2
_chemical_formula_sum 'Na3 Tm3 H24 Rh6'
_cell_length_a 5.1689
_cell_length_b 5.1689
_cell_length_c 14.5570
_cell_angle_alpha 90.00
_cell_angle_beta 90.00
_cell_angle_gamma 120.00
_symmetry_space_group_name_H-M 'R -3'
_symmetry_Int_Tables_number 148
_symmetry_space_group_name_Hall '-R 3'
loop_
_atom_site_label
_atom_site_fract_x
_atom_site_fract_y
_atom_site_fract_z
Na1 0.0000 0.0000 0.0000
Tm1 0.0000 0.0000 0.5000
H1 0.0000 0.0000 0.3152
H2 0.0397 0.6133 0.5539
Rh1 0.0000 0.0000 0.1955
```

Properties
Crystal system: trigonal
D(E_F) (states/eV per atom): 0.00
DFT total energy (eV/atom): -4.18

---

VASP calculation (GGA-PBE) on a relaxed NaZn2H8Rh crystal.

The structure in CIF format:
```
data_NaZn2H8Rh
_chemical_formula_sum 'Na1 Zn2 H8 Rh1'
_cell_length_a 4.4217
_cell_length_b 5.0949
_cell_length_c 5.4822
_cell_angle_alpha 72.30
_cell_angle_beta 87.18
_cell_angle_gamma 89.95
_symmetry_space_group_name_H-M 'P -1'
_symmetry_Int_Tables_number 2
loop_
_symmetry_equiv_pos_as_xyz
'x,y,z'
'-x,-y,-z'
loop_
_atom_site_label
_atom_site_fract_x
_atom_site_fract_y
_atom_site_fract_z
Na1 0.0000 0.0000 0.0000
Zn1 0.4992 0.4576 0.2436
H1 0.0937 0.4828 0.7951
H2 0.2061 0.2314 0.4841
H3 0.2502 0.7509 0.3690
H4 0.4950 0.7595 0.9420
Rh1 0.0000 0.5000 0.5000
```

Properties
Crystal system: triclinic
D(E_F) (states/eV per atom): 0.00
DFT total energy (eV/atom): -3.27

---

VASP calculation (GGA-PBE) on a relaxed Na2ZnH6Rh crystal.

The structure in CIF format:
```
data_Na2ZnH6Rh
_chemical_formula_sum 'Na4 Zn2 H12 Rh2'
_cell_length_a 7.1693
_cell_length_b 7.2701
_cell_length_c 5.0781
_cell_angle_alpha 90.00
_cell_angle_beta 134.69
_cell_angle_gamma 90.00
_symmetry_space_group_name_H-M 'C 1 2/m 1'
_symmetry_Int_Tables_number 12
loop_
_symmetry_equiv_pos_as_xyz
'x,y,z'
'-x,-y,-z'
'-x,y,-z'
'x,-y,z'
'x+1/2,y+1/2,z'
'-x+1/2,-y+1/2,-z'
'-x+1/2,y+1/2,-z'
'x+1/2,-y+1/2,z'
loop_
_atom_site_label
_atom_site_fract_x
_atom_site_fract_y
_atom_site_fract_z
Na1 0.0000 0.2494 0.0000
Zn1 0.0000 0.5000 0.5000
H1 0.0000 0.2363 0.5000
H2 0.2352 0.0000 0.9753
H3 0.2384 0.0000 0.4976
Rh1 0.0000 0.0000 0.5000
```

Properties
Crystal system: monoclinic
D(E_F) (states/eV per atom): 0.12
DFT total energy (eV/atom): -3.35